An optimized crystal structure of Os2Au, computed with PBE.

abc: 4.935 4.935 4.935
angles: 146.79 134.55 57.44
Atoms (fractional coordinates):
Os  0.183  0.183  0.000
Os  0.817  0.817  0.000
Au  0.500  0.500  0.000

For the density of states at the Fermi level, the calculation gives 1.6 states/eV/f.u. The space group is Immm, No. 71. As for the offset from the most stable computed form: 142 meV per atom. Its formation energy from the elements is 479 meV/atom.


An optimized crystal structure of OsAu4, computed with PBE.

abc: 5.026 5.026 5.026
angles: 90.00 90.00 90.00
Atoms (fractional coordinates):
Os  0.000  0.000  0.000
Au  0.000  0.000  0.500
Au  0.000  0.500  0.000
Au  0.500  0.000  0.000
Au  0.500  0.500  0.500

For the density of states at the Fermi level, the calculation gives 3.4 states/eV/f.u. The space group is Pm-3m, No. 221. As for the offset from the most stable computed form: 877 meV per atom. Its formation energy from the elements is 1400 meV/atom.


An optimized crystal structure of OsAu2, computed with PBE.

abc: 5.854 3.934 8.954
angles: 90.00 90.00 90.00
Atoms (fractional coordinates):
Os  0.085  0.250  0.057
Os  0.415  0.750  0.557
Os  0.585  0.250  0.443
Os  0.915  0.750  0.943
Au  0.105  0.250  0.409
Au  0.148  0.250  0.744
Au  0.352  0.750  0.244
Au  0.395  0.750  0.909
Au  0.605  0.250  0.091
Au  0.648  0.250  0.756
Au  0.852  0.750  0.256
Au  0.895  0.750  0.591

For the density of states at the Fermi level, the calculation gives 2.1 states/eV/f.u. The space group is Pnma, No. 62. As for the offset from the most stable computed form: 139 meV per atom. Its formation energy from the elements is 560 meV/atom.


An optimized crystal structure of Os2Au, computed with PBE.

abc: 6.351 6.351 3.937
angles: 90.00 90.00 144.31
Atoms (fractional coordinates):
Os  0.099  0.901  0.750
Os  0.253  0.747  0.250
Os  0.747  0.253  0.750
Os  0.901  0.099  0.250
Au  0.417  0.583  0.750
Au  0.583  0.417  0.250

For the density of states at the Fermi level, the calculation gives 3.4 states/eV/f.u. The space group is Cmcm, No. 63. As for the offset from the most stable computed form: 242 meV per atom. Its formation energy from the elements is 579 meV/atom.


An optimized crystal structure of Os7Au, computed with PBE.

abc: 5.494 5.494 5.494
angles: 60.00 60.00 60.00
Atoms (fractional coordinates):
Os  0.000  0.000  0.000
Os  0.000  0.000  0.500
Os  0.000  0.500  0.000
Os  0.000  0.500  0.500
Os  0.500  0.000  0.000
Os  0.500  0.000  0.500
Os  0.500  0.500  0.000
Au  0.500  0.500  0.500

For the density of states at the Fermi level, the calculation gives 7.5 states/eV/f.u. The space group is Fm-3m, No. 225. Its formation energy from the elements is 425 meV/atom.


An optimized crystal structure of Os4Au, computed with PBE.

abc: 6.427 6.427 6.427
angles: 145.50 145.50 49.58
Atoms (fractional coordinates):
Os  0.105  0.105  0.000
Os  0.250  0.750  0.500
Os  0.750  0.250  0.500
Os  0.895  0.895  0.000
Au  0.500  0.500  0.000

For the density of states at the Fermi level, the calculation gives 5.4 states/eV/f.u. The space group is I4/mmm, No. 139. As for the offset from the most stable computed form: 268 meV per atom. Its formation energy from the elements is 719 meV/atom.


An optimized crystal structure of Os3Au, computed with PBE.

abc: 5.191 5.191 5.191
angles: 116.98 116.98 116.98
Atoms (fractional coordinates):
Os  0.000  0.500  0.500
Os  0.500  0.000  0.500
Os  0.500  0.500  0.000
Au  0.000  0.000  0.000

For the density of states at the Fermi level, the calculation gives 7.4 states/eV/f.u. The space group is R-3m, No. 166. As for the offset from the most stable computed form: 739 meV per atom. Its formation energy from the elements is 1058 meV/atom.


An optimized crystal structure of Os2Au, computed with PBE.

abc: 3.654 3.654 4.899
angles: 90.00 90.00 120.00
Atoms (fractional coordinates):
Os  0.333  0.667  0.388
Os  0.667  0.333  0.612
Au  0.000  0.000  0.000

For the density of states at the Fermi level, the calculation gives 2.1 states/eV/f.u. The space group is P-3m1, No. 164. As for the offset from the most stable computed form: 675 meV per atom. Its formation energy from the elements is 1012 meV/atom.


An optimized crystal structure of Os4Au, computed with PBE.

abc: 4.734 4.734 4.734
angles: 90.00 90.00 90.00
Atoms (fractional coordinates):
Os  0.000  0.000  0.000
Os  0.000  0.500  0.500
Os  0.500  0.000  0.500
Os  0.500  0.500  0.000
Au  0.500  0.500  0.500

For the density of states at the Fermi level, the calculation gives 7.4 states/eV/f.u. The space group is Pm-3m, No. 221. As for the offset from the most stable computed form: 3102 meV per atom. Its formation energy from the elements is 3553 meV/atom.


An optimized crystal structure of OsAu2, computed with PBE.

abc: 6.825 6.825 6.825
angles: 156.60 156.60 33.34
Atoms (fractional coordinates):
Os  0.000  0.000  0.000
Au  0.339  0.339  0.000
Au  0.661  0.661  0.000

For the density of states at the Fermi level, the calculation gives 3.2 states/eV/f.u. The space group is I4/mmm, No. 139. As for the offset from the most stable computed form: 176 meV per atom. Its formation energy from the elements is 597 meV/atom.


An optimized crystal structure of Os2Au, computed with PBE.

abc: 5.401 5.401 6.578
angles: 105.38 105.38 30.12
Atoms (fractional coordinates):
Os  0.000  0.000  0.000
Os  0.042  0.042  0.614
Os  0.393  0.393  0.255
Os  0.708  0.708  0.951
Au  0.327  0.327  0.676
Au  0.664  0.664  0.337

For the density of states at the Fermi level, the calculation gives 3.1 states/eV/f.u. The space group is Cm, No. 8. As for the offset from the most stable computed form: 237 meV per atom. Its formation energy from the elements is 574 meV/atom.


An optimized crystal structure of Os2Au, computed with PBE.

abc: 5.203 5.203 5.203
angles: 60.00 60.00 60.00
Atoms (fractional coordinates):
Os  0.000  0.000  0.000
Os  0.000  0.000  0.500
Os  0.000  0.500  0.000
Os  0.500  0.000  0.000
Au  0.375  0.375  0.375
Au  0.625  0.625  0.625

For the density of states at the Fermi level, the calculation gives 3.8 states/eV/f.u. The space group is Fd-3m, No. 227. As for the offset from the most stable computed form: 659 meV per atom. Its formation energy from the elements is 996 meV/atom.